! BaMg4Cd2Au PBE-GGA optimized geometry; values from VASP
! DOS(E_F) in states/eV per cell: 4.616
! Symmetry: R-3m, No. 166
! Magnetic moment in μB/cell: 0.0
! Raw total energy in eV/atom: -1.941
&SYSTEM
  ibrav = 0, nat = 8, ntyp = 4
/
ATOMIC_SPECIES
Ba 137.33 Ba.upf
Mg 24.30 Mg.upf
Cd 112.41 Cd.upf
Au 196.97 Au.upf
ATOMIC_POSITIONS crystal
Ba 0.000 0.000 0.000
Mg 0.413 0.413 0.760
Mg 0.860 0.860 0.419
Mg 0.140 0.140 0.581
Mg 0.587 0.587 0.240
Cd 0.751 0.751 0.747
Cd 0.249 0.249 0.253
Au 0.500 0.500 0.500
CELL_PARAMETERS angstrom
-3.746 0.419 -3.080
-4.383 -1.707 1.252
-5.073 8.654 3.501